Density functional theory data (PBE with a Hubbard U) for TlMoF2 after structural relaxation.

Unit cell a=8.016 b=8.016 c=8.016 alpha=26.62 beta=26.62 gamma=26.62
Each line ends with the local moment (μB).
Sites, in units of the cell vectors:
Tl  0.500  0.500  0.500  0.00
Mo  0.000  0.000  0.000  3.56
F  0.091  0.091  0.091  0.03
F  0.909  0.909  0.909  0.03

Output
- Symmetry: R-3m, No. 166
- Excess energy over the best structure of this formula in the dataset: 0 meV per atom
- M_tot: 4.2 μB per formula unit
- Uncorrected energy: -4.521 eV/atom